No. 1
Below is crystalline MnNi2Pt3 at its relaxed geometry, with properties calculated at the GGA-PBE level.

Computed properties:
Calculated total energy ... -6.69 eV per atom
DFT formation energy ... -0.217 eV/atom

a = 3.8890 Å, b = 11.6720 Å, c = 7.3044 Å
α = 90.00°, β = 90.00°, γ = 90.00°
Space group Cmmm (No. 65)
Unique sites:
Mn 0.0000 0.1577 0.0000 x4
Ni 0.0000 0.1698 0.5000 x4
Ni 0.0000 0.5000 0.0000 x2
Ni 0.0000 0.5000 0.5000 x2
Pt 0.0000 0.0000 0.2598 x4
Pt 0.0000 0.3333 0.2506 x8

No. 2
Below is crystalline TbSi2O5 at its relaxed geometry, with properties calculated at the GGA-PBE level.

Computed properties:
Calculated total energy ... -7.59 eV per atom
Energy relative to the elements, uncorrected ... -59.0 kcal/mol of atoms

a = 3.4168 Å, b = 11.2261 Å, c = 4.9759 Å
α = 90.00°, β = 90.00°, γ = 90.00°
Space group Pmmn (No. 59, origin choice 2)
Unique sites:
Tb 0.2500 0.2500 0.0704 x2
Si 0.2500 0.6026 0.4424 x4
O 0.2500 0.0766 0.4407 x4
O 0.2500 0.6322 0.1218 x4
O 0.2500 0.7500 0.5910 x2

No. 3
Below is crystalline Pm4AsAuSe2 at its relaxed geometry, with properties calculated at the GGA-PBE level.

Computed properties:
Calculated total energy ... -5.73 eV per atom
Energy relative to the elements, uncorrected ... -34.4 kcal/mol of atoms

a = 7.3592 Å, b = 4.1898 Å, c = 7.3735 Å
α = 90.00°, β = 108.85°, γ = 90.00°
Space group P2/m (No. 10)
Unique sites:
Pm 0.2419 0.0000 0.2463 x2
Pm 0.2450 0.5000 0.7488 x2
As 0.0000 0.5000 0.0000 x1
Au 0.5000 0.0000 0.0000 x1
Se 0.0000 0.0000 0.5000 x1
Se 0.5000 0.5000 0.5000 x1